1.
DyYIr: relaxed, GGA-PBE.

The structure in POSCAR format:
```
DyYIr
1.0
6.467 0.000 0.000
0.000 6.981 -0.021
0.000 0.041 7.665
Dy Y Ir
4 4 4
direct
0.237 0.577 0.111
0.263 0.577 0.611
0.763 0.423 0.889
0.737 0.423 0.389
0.738 0.922 0.610
0.762 0.922 0.110
0.262 0.078 0.390
0.238 0.078 0.890
0.502 0.251 0.650
0.002 0.749 0.850
0.498 0.749 0.350
0.998 0.251 0.150
```

## Properties
Magnetization   0.0 μB/f.u.
VASP energy   -7.27 eV per atom
DOS at the Fermi energy   0.517 states/eV per atom
Density   8.51 g/cm3

2.
DyY3Ir2: relaxed, GGA-PBE.

The structure in POSCAR format:
```
DyY3Ir2
1.0
-6.631 -0.974 -0.917
1.170 -1.553 -6.809
3.470 -5.303 5.487
Dy Y Ir
2 6 4
direct
0.000 0.500 0.000
0.000 0.000 0.000
0.500 0.250 0.000
0.500 0.750 0.000
0.765 0.015 0.530
0.235 0.485 0.470
0.235 0.985 0.470
0.765 0.515 0.530
0.577 0.363 0.725
0.852 0.137 0.275
0.148 0.863 0.725
0.423 0.637 0.275
```

## Properties
Magnetization   0.0 μB/f.u.
VASP energy   -7.57 eV per atom
DOS at the Fermi energy   0.876 states/eV per atom
Density   8.29 g/cm3